# TlTeCl

TlTeCl after structural relaxation (PBE, the Alexandria database).

**Formation energy without anion corrections**: -0.507 eV per atom
**SG**: P1
**DOS(E_F)**: 1.7 states/eV/f.u.

Lattice parameters (Å, degrees): 4.5737 9.3306 7.7210 55.00 72.56 75.60
Atoms (fractional coordinates):
Tl 0.0861 0.8330 0.7915
Cl 0.4847 0.6723 0.1490
Cl 0.5711 0.1057 0.5457
Te 0.2626 0.2911 0.9770
Tl 0.0194 0.3913 0.3597
Te 0.7823 0.4721 0.7573